Record 1
## Cu4AgAu5 (PBE)

Data for a relaxed Cu4AgAu5 crystal.

Output
- E: -3.601 eV per atom
- Crystal system: tetragonal
- Formation energy: -0.0386 eV/atom

a = 3.015 Å, b = 3.015 Å, c = 17.262 Å
α = 90.00°, β = 90.00°, γ = 90.00°
Positions (direct):
1 Cu 0.000 0.000 0.096
2 Cu 0.000 0.000 0.289
3 Cu 0.000 0.000 0.711
4 Cu 0.000 0.000 0.904
5 Ag 0.000 0.000 0.500
6 Au 0.500 0.500 0.000
7 Au 0.500 0.500 0.192
8 Au 0.500 0.500 0.384
9 Au 0.500 0.500 0.616
10 Au 0.500 0.500 0.808

=====

Record 2
## ScTePtI2 (PBE)

Data for a relaxed ScTePtI2 crystal.

Output
- E: -3.470 eV per atom
- Crystal system: tetragonal
- Raw formation energy: 0.25 eV per atom
- Relative energy among the computed polymorphs: 0.84 eV per formula unit

a = 5.490 Å, b = 5.490 Å, c = 5.819 Å
α = 90.00°, β = 90.00°, γ = 90.00°
Positions (direct):
1 Sc 0.000 0.000 0.000
2 Te 0.000 0.000 0.500
3 Pt 0.500 0.500 0.500
4 I 0.000 0.500 0.000
5 I 0.500 0.000 0.000

=====

Record 3
## NdDy3Y6Ho2 (PBE)

Data for a relaxed NdDy3Y6Ho2 crystal.

Output
- E: -5.523 eV per atom
- Crystal system: monoclinic
- Formation energy: 0.0201 eV/atom

a = 6.172 Å, b = 6.172 Å, c = 11.815 Å
α = 94.97°, β = 94.97°, γ = 119.95°
Positions (direct):
1 Nd 0.000 0.000 0.000
2 Dy 0.167 0.833 0.500
3 Dy 0.500 0.500 0.500
4 Dy 0.833 0.167 0.500
5 Y 0.084 0.418 0.251
6 Y 0.250 0.250 0.749
7 Y 0.418 0.084 0.251
8 Y 0.582 0.916 0.749
9 Y 0.750 0.750 0.251
10 Y 0.916 0.582 0.749
11 Ho 0.333 0.667 0.000
12 Ho 0.667 0.333 0.000

=====

Record 4
## La3Pm2NdDy6 (PBE)

Data for a relaxed La3Pm2NdDy6 crystal.

Output
- E: -4.709 eV per atom
- Crystal system: monoclinic
- Formation energy: 0.0127 eV/atom

a = 6.300 Å, b = 6.300 Å, c = 11.882 Å
α = 95.06°, β = 95.06°, γ = 120.01°
Positions (direct):
1 La 0.000 0.000 0.000
2 La 0.333 0.667 0.000
3 La 0.667 0.333 0.000
4 Pm 0.167 0.833 0.500
5 Pm 0.833 0.167 0.500
6 Nd 0.500 0.500 0.500
7 Dy 0.084 0.418 0.252
8 Dy 0.249 0.249 0.748
9 Dy 0.418 0.084 0.252
10 Dy 0.582 0.916 0.748
11 Dy 0.751 0.751 0.252
12 Dy 0.916 0.582 0.748

=====

Record 5
## Zn2CoPd (PBE)

Data for a relaxed Zn2CoPd crystal.

Output
- E: -3.973 eV per atom
- Crystal system: tetragonal
- Formation energy: -0.2617 eV/atom

a = 2.963 Å, b = 2.963 Å, c = 5.980 Å
α = 90.00°, β = 90.00°, γ = 90.00°
Positions (direct):
1 Zn 0.000 0.000 0.229
2 Zn 0.000 0.000 0.771
3 Co 0.500 0.500 0.000
4 Pd 0.500 0.500 0.500

=====

Record 6
## Li2PdRh (PBE)

Data for a relaxed Li2PdRh crystal.

Output
- E: -4.000 eV per atom
- Crystal system: tetragonal
- Formation energy: 0.0934 eV/atom

a = 5.329 Å, b = 5.329 Å, c = 5.329 Å
α = 104.16°, β = 104.16°, γ = 120.70°
Positions (direct):
1 Li 0.124 0.625 0.999
2 Li 0.375 0.374 0.499
3 Li 0.626 0.125 0.001
4 Li 0.875 0.876 0.501
5 Pd 0.000 0.000 0.000
6 Pd 0.750 0.250 0.500
7 Rh 0.250 0.750 0.500
8 Rh 0.500 0.500 0.000

=====

Record 7
## Na2BiSe3 (PBE)

Data for a relaxed Na2BiSe3 crystal.

Output
- E: -3.485 eV per atom
- Crystal system: orthorhombic
- Raw formation energy: -0.66 eV per atom

a = 7.645 Å, b = 7.645 Å, c = 7.645 Å
α = 149.74°, β = 134.33°, γ = 55.77°
Positions (direct):
1 Na 0.168 0.168 0.000
2 Na 0.832 0.832 0.000
3 Bi 0.500 0.500 0.000
4 Se 0.000 0.500 0.500
5 Se 0.345 0.845 0.500
6 Se 0.655 0.155 0.500

=====

Record 8
## MnNi2Cl (PBE)

Data for a relaxed MnNi2Cl crystal.

Output
- E: -5.165 eV per atom
- Crystal system: tetragonal
- Raw formation energy: 0.48 eV per atom
- Relative energy among the computed polymorphs: 1.62 eV per formula unit

a = 4.802 Å, b = 4.802 Å, c = 4.802 Å
α = 135.15°, β = 135.15°, γ = 65.29°
Positions (direct):
1 Mn 0.000 0.000 0.000
2 Ni 0.250 0.750 0.500
3 Ni 0.500 0.500 0.000
4 Cl 0.750 0.250 0.500

=====

Record 9
## LiTbZrRu (PBE)

Data for a relaxed LiTbZrRu crystal.

Output
- E: -6.325 eV per atom
- Crystal system: cubic
- Formation energy: -0.2326 eV/atom

a = 4.794 Å, b = 4.794 Å, c = 4.794 Å
α = 60.00°, β = 60.00°, γ = 60.00°
Positions (direct):
1 Li 0.000 0.000 0.000
2 Tb 0.750 0.750 0.750
3 Zr 0.250 0.250 0.250
4 Ru 0.500 0.500 0.500

=====

Record 10
## CaPrAgSn (PBE)

Data for a relaxed CaPrAgSn crystal.

Output
- E: -3.961 eV per atom
- Crystal system: cubic
- Formation energy: -0.5523 eV/atom

a = 5.393 Å, b = 5.393 Å, c = 5.393 Å
α = 60.00°, β = 60.00°, γ = 60.00°
Positions (direct):
1 Ca 0.000 0.000 0.000
2 Pr 0.500 0.500 0.500
3 Ag 0.750 0.750 0.750
4 Sn 0.250 0.250 0.250

=====

Record 11
## LiTh2Au3 (PBE)

Data for a relaxed LiTh2Au3 crystal.

Output
- E: -5.031 eV per atom
- Crystal system: orthorhombic
- Formation energy: -0.6004 eV/atom

a = 9.517 Å, b = 8.926 Å, c = 5.869 Å
α = 77.02°, β = 66.05°, γ = 36.93°
Positions (direct):
1 Li 0.167 0.167 0.833
2 Li 0.833 0.833 0.167
3 Th 0.250 0.250 0.250
4 Th 0.255 0.745 0.745
5 Th 0.745 0.255 0.255
6 Th 0.750 0.750 0.750
7 Au 0.148 0.678 0.322
8 Au 0.322 0.852 0.148
9 Au 0.327 0.327 0.673
10 Au 0.673 0.673 0.327
11 Au 0.678 0.148 0.852
12 Au 0.852 0.322 0.678

=====

Record 12
## Mg2FeSe (PBE)

Data for a relaxed Mg2FeSe crystal.

Output
- E: -3.823 eV per atom
- Crystal system: tetragonal
- Raw formation energy: -0.04 eV per atom

a = 3.557 Å, b = 3.557 Å, c = 5.679 Å
α = 90.00°, β = 90.00°, γ = 90.00°
Positions (direct):
1 Mg 0.000 0.000 0.000
2 Mg 0.500 0.500 0.301
3 Fe 0.500 0.500 0.800
4 Se 0.000 0.000 0.527

=====

Record 13
## La2NdCu2Ge2 (PBE)

Data for a relaxed La2NdCu2Ge2 crystal.

Output
- E: -5.086 eV per atom
- Crystal system: trigonal
- Formation energy: -0.5070 eV/atom

a = 10.017 Å, b = 10.017 Å, c = 10.017 Å
α = 25.01°, β = 25.01°, γ = 25.01°
Positions (direct):
1 La 0.132 0.132 0.132
2 La 0.868 0.868 0.868
3 Nd 0.000 0.000 0.000
4 Cu 0.403 0.403 0.403
5 Cu 0.597 0.597 0.597
6 Ge 0.265 0.265 0.265
7 Ge 0.735 0.735 0.735

=====

Record 14
## CoGePd (PBE)

Data for a relaxed CoGePd crystal.

Output
- E: -5.731 eV per atom
- Crystal system: tetragonal
- Formation energy: -0.0919 eV/atom

a = 10.049 Å, b = 10.049 Å, c = 10.049 Å
α = 163.11°, β = 163.11°, γ = 23.97°
Positions (direct):
1 Co 0.211 0.211 0.000
2 Co 0.789 0.789 0.000
3 Ge 0.353 0.353 0.000
4 Ge 0.647 0.647 0.000
5 Pd 0.068 0.068 0.000
6 Pd 0.932 0.932 0.000

=====

Record 15
## La3PrSm2Y6 (PBE)

Data for a relaxed La3PrSm2Y6 crystal.

Output
- E: -5.639 eV per atom
- Crystal system: monoclinic
- Formation energy: 0.0099 eV/atom

a = 6.317 Å, b = 6.317 Å, c = 11.922 Å
α = 95.06°, β = 95.06°, γ = 120.00°
Positions (direct):
1 La 0.000 0.000 0.000
2 La 0.333 0.667 0.000
3 La 0.667 0.333 0.000
4 Pr 0.500 0.500 0.500
5 Sm 0.167 0.833 0.500
6 Sm 0.833 0.167 0.500
7 Y 0.084 0.418 0.253
8 Y 0.249 0.249 0.748
9 Y 0.418 0.084 0.253
10 Y 0.582 0.916 0.747
11 Y 0.751 0.751 0.252
12 Y 0.916 0.582 0.747

=====

Record 16
## Tl4BrOF (PBE)

Data for a relaxed Tl4BrOF crystal.

Output
- E: -3.534 eV per atom
- Crystal system: monoclinic
- Raw formation energy: -0.97 eV per atom

a = 6.727 Å, b = 7.305 Å, c = 9.095 Å
α = 90.00°, β = 103.36°, γ = 90.00°
Positions (direct):
1 Tl 0.051 0.250 0.470
2 Tl 0.168 0.250 0.897
3 Tl 0.427 0.509 0.270
4 Tl 0.427 0.991 0.270
5 Tl 0.573 0.009 0.730
6 Tl 0.573 0.491 0.730
7 Tl 0.832 0.750 0.103
8 Tl 0.949 0.750 0.530
9 Br 0.301 0.750 0.955
10 Br 0.699 0.250 0.045
11 O 0.328 0.250 0.678
12 O 0.672 0.750 0.322
13 F 0.168 0.750 0.339
14 F 0.832 0.250 0.661

=====

Record 17
## HfP2CO (PBE)

Data for a relaxed HfP2CO crystal.

Output
- E: -6.683 eV per atom
- Crystal system: tetragonal
- Raw formation energy: 0.31 eV per atom
- Relative energy among the computed polymorphs: 0.00 eV per formula unit

a = 3.781 Å, b = 3.781 Å, c = 4.324 Å
α = 90.00°, β = 90.00°, γ = 90.00°
Positions (direct):
1 Hf 0.000 0.000 0.000
2 P 0.000 0.500 0.500
3 P 0.500 0.000 0.500
4 C 0.500 0.500 0.500
5 O 0.500 0.500 0.000

=====

Record 18
## Sc3GaO (PBE)

Data for a relaxed Sc3GaO crystal.

Output
- E: -5.748 eV per atom
- Crystal system: hexagonal
- Raw formation energy: -0.35 eV per atom

a = 4.143 Å, b = 4.143 Å, c = 14.311 Å
α = 90.00°, β = 90.00°, γ = 120.00°
Positions (direct):
1 Sc 0.000 0.000 0.250
2 Sc 0.000 0.000 0.750
3 Sc 0.333 0.667 0.066
4 Sc 0.333 0.667 0.434
5 Sc 0.667 0.333 0.566
6 Sc 0.667 0.333 0.934
7 Ga 0.333 0.667 0.250
8 Ga 0.667 0.333 0.750
9 O 0.000 0.000 0.000
10 O 0.000 0.000 0.500

=====

Record 19
## TbPr2Nd6Ho (PBE)

Data for a relaxed TbPr2Nd6Ho crystal.

Output
- E: -4.624 eV per atom
- Crystal system: monoclinic
- Formation energy: 0.1135 eV/atom

a = 8.992 Å, b = 8.992 Å, c = 9.925 Å
α = 94.53°, β = 94.53°, γ = 118.08°
Positions (direct):
1 Tb 0.019 0.981 0.750
2 Tb 0.981 0.019 0.250
3 Pr 0.194 0.295 0.542
4 Pr 0.295 0.194 0.042
5 Pr 0.705 0.806 0.958
6 Pr 0.806 0.705 0.458
7 Nd 0.016 0.575 0.690
8 Nd 0.122 0.750 0.055
9 Nd 0.250 0.878 0.445
10 Nd 0.293 0.501 0.881
11 Nd 0.425 0.984 0.810
12 Nd 0.499 0.707 0.619
13 Nd 0.501 0.293 0.381
14 Nd 0.575 0.016 0.190
15 Nd 0.707 0.499 0.119
16 Nd 0.750 0.122 0.555
17 Nd 0.878 0.250 0.945
18 Nd 0.984 0.425 0.310
19 Ho 0.408 0.592 0.250
20 Ho 0.592 0.408 0.750

=====

Record 20
## Li2UBe2O6 (PBE)

Data for a relaxed Li2UBe2O6 crystal.

Output
- E: -7.330 eV per atom
- Crystal system: trigonal
- Raw formation energy: -2.57 eV per atom

a = 5.128 Å, b = 5.128 Å, c = 6.320 Å
α = 90.00°, β = 90.00°, γ = 120.00°
Positions (direct):
1 Li 0.333 0.667 0.271
2 Li 0.667 0.333 0.729
3 U 0.000 0.000 0.000
4 Be 0.333 0.667 0.805
5 Be 0.667 0.333 0.195
6 O 0.043 0.690 0.806
7 O 0.310 0.353 0.806
8 O 0.353 0.043 0.194
9 O 0.647 0.957 0.806
10 O 0.690 0.647 0.194
11 O 0.957 0.310 0.194